1.
The following is a PBE-GGA calculation of a relaxed structure of CsCdSb, from Alexandria.

Its energy relative to the elements, uncorrected is -0.279 eV per atom. As for the crystal system: triclinic.

The space group is P1 (No. 1) and the conventional cell measures 6.790, 6.798 and 7.201 Å, with angles of 64.74, 65.19 and 89.46 degrees. The inequivalent atoms are Cs at (0.000, 0.000, 0.000), Cs at (0.366, 0.369, 0.219), Cd at (0.662, 0.959, 0.655), Cd at (0.957, 0.663, 0.659), Sb at (0.403, 0.709, 0.566) and Sb at (0.706, 0.401, 0.574).

---

2.
The following is a PBE-GGA calculation of a relaxed structure of TlZnRe2, from Alexandria.

The formation energy comes out at 949 meV per atom. As for the energy above the most stable polymorph in this dataset: 0.574 eV/atom. As for the crystal system: tetragonal.

The space group is I4/mmm (No. 139) and the conventional cell measures 3.877, 3.877 and 8.915 Å, with angles of 90.00, 90.00 and 90.00 degrees. The inequivalent atoms are Tl at (0.000, 0.000, 0.000), Zn at (0.000, 0.000, 0.500) and Re at (0.000, 0.500, 0.250).